[1]
This record from Alexandria via LeMat-Bulk describes a relaxed structure of Be2InIr. The functional is PBE.

Structure (POSCAR):
```
Be2InIr
1.0
0.000 3.027 3.027
3.027 0.000 3.027
3.027 3.027 0.000
Be In Ir
2 1 1
Direct
0.000 0.000 0.000
0.250 0.250 0.250
0.750 0.750 0.750
0.500 0.500 0.500
```

M_tot (μB/atom): 0.0000
ΔE_f (kcal/mol of atoms): 5.19
D(E_F) (states/eV per atom): 0.4334

[2]
This record from Alexandria via LeMat-Bulk describes a relaxed structure of TcAuNF2. The functional is PBE.

Structure (POSCAR):
```
TcAuNF2
1.0
4.688 0.000 0.000
0.000 4.688 0.000
0.000 0.000 3.760
Tc Au N F
1 1 1 2
Direct
0.000 0.000 0.000
0.500 0.500 0.500
0.500 0.500 0.000
0.000 0.500 0.500
0.500 0.000 0.500
```

Distance to the lowest polymorph of the same formula (meV per atom): 1002.6
M_tot (μB/atom): 0.8708
E_form (uncorrected) (eV per atom): 0.723
D(E_F) (states/eV per atom): 0.5281

[3]
This record from Alexandria via LeMat-Bulk describes a relaxed structure of ReIrBr. The functional is PBE.

Structure (POSCAR):
```
ReIrBr
1.0
0.000 2.490 7.362
1.417 0.000 7.362
1.417 2.490 0.000
Re Ir Br
1 1 1
Direct
0.000 0.000 0.000
0.354 0.354 0.646
0.663 0.663 0.337
```

Distance to the lowest polymorph of the same formula (meV per atom): 237.6
M_tot (μB/atom): 0.0000
E_form (uncorrected) (eV per atom): 0.911
D(E_F) (states/eV per atom): 0.8646